Record 1
First-principles (PBE-GGA) data for a relaxed MgIrOs2 crystal, as listed in Alexandria via LeMat-Bulk.

V ... 14.85 Å³/atom
DFT formation energy ... 0.44 eV/f.u.

extended XYZ file:
```
4
Lattice="2.7790 0.0000 0.0000 0.0000 3.8498 0.0000 0.0000 0.0000 5.5526" Properties=species:S:1:pos:R:3 pbc="T T T"
Os 0.0000 0.0000 0.1073
Os 1.3895 1.9249 1.2901
Mg 1.3895 1.9249 4.1055
Ir 0.0000 0.0000 2.8260
```

***

Record 2
First-principles (PBE-GGA) data for a relaxed MgIrOs2 crystal, as listed in Alexandria via LeMat-Bulk.

V ... 14.85 Å³/atom
DFT formation energy ... 1.65 eV/f.u.

extended XYZ file:
```
4
Lattice="-4.5646 0.0845 0.2743 -0.2636 -2.9620 -3.4750 0.0704 -2.1630 1.8383" Properties=species:S:1:pos:R:3 pbc="T T T"
Os -2.4141 -1.4387 -1.6004
Os 0.0000 0.0000 0.0000
Mg -0.0966 -2.5625 -0.8183
Ir -2.2471 -1.0392 1.0563
```

***

Record 3
First-principles (PBE-GGA) data for a relaxed MgIr2Os crystal, as listed in Alexandria via LeMat-Bulk.

V ... 14.71 Å³/atom
DFT formation energy ... -0.40 eV/f.u.

extended XYZ file:
```
4
Lattice="6.1913 -0.0025 0.0024 -2.4859 4.0482 -0.0008 1.2232 0.7525 2.3495" Properties=species:S:1:pos:R:3 pbc="T T T"
Ir 0.0000 0.0000 0.0000
Ir 3.7073 0.3750 1.1759
Os 1.8527 2.0229 0.0008
Mg -0.6313 2.4003 1.1744
```

***

Record 4
First-principles (PBE-GGA) data for a relaxed MgIr2Os crystal, as listed in Alexandria via LeMat-Bulk.

V ... 14.98 Å³/atom
DFT formation energy ... 0.34 eV/f.u.

extended XYZ file:
```
4
Lattice="4.6251 0.0000 0.0000 0.0000 4.6251 0.0000 0.0000 0.0000 2.8017" Properties=species:S:1:pos:R:3 pbc="T T T"
Ir 2.3125 2.3125 0.0000
Ir 0.0000 0.0000 0.0000
Os 0.0000 2.3125 1.4009
Mg 2.3125 0.0000 1.4009
```

***

Record 5
First-principles (PBE-GGA) data for a relaxed MgIrOs2 crystal, as listed in Alexandria via LeMat-Bulk.

V ... 17.75 Å³/atom
DFT formation energy ... 2.93 eV/f.u.

extended XYZ file:
```
8
Lattice="7.5982 0.0000 0.0000 0.0000 7.5982 0.0000 3.7991 3.7991 2.4594" Properties=species:S:1:pos:R:3 pbc="T T T"
Ir 0.0000 0.0000 0.0000
Ir 7.5982 3.7991 1.2297
Mg 3.7991 3.7991 0.0000
Mg 3.7991 7.5982 1.2297
Os 6.1313 1.8995 0.6149
Os 9.4977 9.9304 1.8446
Os 1.4669 5.6986 0.6149
Os 5.6986 5.2660 1.8446
```

***

Record 6
First-principles (PBE-GGA) data for a relaxed MgIr2Os crystal, as listed in Alexandria via LeMat-Bulk.

V ... 14.73 Å³/atom
DFT formation energy ... 0.06 eV/f.u.

extended XYZ file:
```
4
Lattice="-4.0748 1.2274 2.2521 0.6074 0.0544 4.7761 2.4565 1.9821 -3.6359" Properties=species:S:1:pos:R:3 pbc="T T T"
Os -1.6760 1.9252 1.0652
Mg -1.7337 0.6409 3.5141
Ir 0.6651 1.3387 2.3271
Ir 0.0000 0.0000 0.0000
```

***

Record 7
First-principles (PBE-GGA) data for a relaxed MgIr2Os crystal, as listed in Alexandria via LeMat-Bulk.

V ... 14.81 Å³/atom
DFT formation energy ... -0.02 eV/f.u.

extended XYZ file:
```
4
Lattice="4.7652 0.0039 -0.0043 3.9783 2.6231 -0.0043 0.6696 0.2012 4.7451" Properties=species:S:1:pos:R:3 pbc="T T T"
Os 2.3533 0.7070 1.1841
Ir 4.7553 1.4287 2.3353
Ir 8.6948 2.6123 0.0243
Mg 7.0599 2.1211 3.5523
```

***

Record 8
First-principles (PBE-GGA) data for a relaxed MgIr2Os crystal, as listed in Alexandria via LeMat-Bulk.

V ... 14.89 Å³/atom
DFT formation energy ... -0.30 eV/f.u.

extended XYZ file:
```
4
Lattice="4.8303 0.0001 0.0070 4.0344 2.6562 0.0070 0.7889 0.2364 4.6441" Properties=species:S:1:pos:R:3 pbc="T T T"
Ir 7.1322 2.1372 3.3742
Ir 0.0453 0.0136 0.1505
Os 2.5001 0.7491 1.0068
Mg 4.8029 1.4392 2.4556
```

***

Record 9
First-principles (PBE-GGA) data for a relaxed Mg4IrOs crystal, as listed in Alexandria via LeMat-Bulk.

V ... 16.50 Å³/atom
DFT formation energy ... 3.41 eV/f.u.

extended XYZ file:
```
6
Lattice="-0.1638 -5.1122 -0.8951 -0.8634 -3.2956 3.9188 -4.5155 -2.5457 0.3045" Properties=species:S:1:pos:R:3 pbc="T T T"
Ir 0.0000 0.0000 0.0000
Mg -4.3329 -5.3806 1.4009
Mg -2.0800 -4.1105 1.2489
Mg -2.1617 -6.6612 0.8023
Mg -2.5107 -5.7548 3.2042
Os -4.1570 -8.2152 2.4961
```

***

Record 10
First-principles (PBE-GGA) data for a relaxed MgIrOs2 crystal, as listed in Alexandria via LeMat-Bulk.

V ... 14.94 Å³/atom
DFT formation energy ... 0.75 eV/f.u.

extended XYZ file:
```
4
Lattice="-1.9104 1.8678 8.8511 -1.6534 -0.8650 9.0553 0.5771 0.7415 9.1977" Properties=species:S:1:pos:R:3 pbc="T T T"
Os -2.9797 1.7402 27.0408
Os -1.5003 0.8762 13.6152
Ir -0.7467 0.4361 6.7760
Mg -2.2400 1.3082 20.3280
```

***

Record 11
First-principles (PBE-GGA) data for a relaxed MgIrOs2 crystal, as listed in Alexandria via LeMat-Bulk.

V ... 15.08 Å³/atom
DFT formation energy ... 0.11 eV/f.u.

extended XYZ file:
```
4
Lattice="2.7927 0.0000 0.0000 0.0000 2.7927 0.0000 0.0000 0.0000 7.7330" Properties=species:S:1:pos:R:3 pbc="T T T"
Os 1.3964 1.3964 1.8953
Os 0.0000 0.0000 0.1471
Ir 0.0000 0.0000 3.7729
Mg 1.3964 1.3964 5.7842
```

***

Record 12
First-principles (PBE-GGA) data for a relaxed MgIrOs2 crystal, as listed in Alexandria via LeMat-Bulk.

V ... 14.72 Å³/atom
DFT formation energy ... 1.17 eV/f.u.

extended XYZ file:
```
4
Lattice="5.1900 0.0049 0.0022 2.3797 4.6123 -0.0022 -3.2102 -3.2507 2.4624" Properties=species:S:1:pos:R:3 pbc="T T T"
Ir 3.7507 2.2877 0.0000
Os 0.0004 0.0003 0.0000
Os 2.9137 -0.4495 1.2323
Mg 1.4796 1.8365 1.2301
```

***

Q: Which of these has the lowest DFT formation energy?
A: number 3

***

Q: V of number 12 (MgIrOs2)?
A: 14.72 Å³/atom

***

Q: Which of these has the lowest V?
A: number 3